Entry 1:
The following is a DFT calculation (GGA-PBE) of a relaxed Th4IrAu crystal.

Offset from the most stable computed form, meV/atom: 172
Density of states at the Fermi level, states/eV/f.u.: 6.01
SG: C2/c, No. 15
Energy of formation, eV per formula unit: -2.22

Cell lengths 8.636, 8.636, 7.049 Å; angles 106.80, 106.80, 120.50 degrees
Element x y z (fractional)
Th  0.031  0.592  0.808
Th  0.190  0.291  0.737
Th  0.291  0.190  0.237
Th  0.408  0.969  0.692
Th  0.592  0.031  0.308
Th  0.709  0.810  0.763
Th  0.810  0.709  0.263
Th  0.969  0.408  0.192
Ir  0.078  0.922  0.750
Ir  0.922  0.078  0.250
Au  0.396  0.604  0.250
Au  0.604  0.396  0.750

Entry 2:
The following is a DFT calculation (GGA-PBE) of a relaxed Th3IrAu crystal.

Offset from the most stable computed form, meV/atom: 0
Density of states at the Fermi level, states/eV/f.u.: 5.99
SG: Pnma, No. 62
Energy of formation, eV per formula unit: -3.08

Cell lengths 8.611, 4.326, 14.994 Å; angles 90.00, 90.00, 90.00 degrees
Element x y z (fractional)
Th  0.000  0.250  0.106
Th  0.000  0.750  0.894
Th  0.143  0.250  0.548
Th  0.178  0.750  0.281
Th  0.322  0.250  0.781
Th  0.357  0.750  0.048
Th  0.500  0.250  0.394
Th  0.500  0.750  0.606
Th  0.643  0.250  0.952
Th  0.678  0.750  0.219
Th  0.822  0.250  0.719
Th  0.857  0.750  0.452
Ir  0.209  0.250  0.953
Ir  0.291  0.750  0.453
Ir  0.709  0.250  0.547
Ir  0.791  0.750  0.047
Au  0.102  0.750  0.697
Au  0.398  0.250  0.197
Au  0.602  0.750  0.803
Au  0.898  0.250  0.303

Entry 3:
The following is a DFT calculation (GGA-PBE) of a relaxed Th2IrAu crystal.

Density of states at the Fermi level, states/eV/f.u.: 2.19
SG: P-3m1, No. 164
Energy of formation, eV per formula unit: -3.11

Cell lengths 4.235, 4.235, 7.059 Å; angles 90.00, 90.00, 120.00 degrees
Element x y z (fractional)
Th  0.333  0.667  0.282
Th  0.667  0.333  0.718
Ir  0.000  0.000  0.500
Au  0.000  0.000  0.000

Entry 4:
The following is a DFT calculation (GGA-PBE) of a relaxed Th2TlIrAu crystal.

Density of states at the Fermi level, states/eV/f.u.: 3.79
SG: P2_1/m, No. 11
Energy of formation, eV per formula unit: -2.87

Cell lengths 8.442, 4.083, 8.471 Å; angles 90.00, 100.12, 90.00 degrees
Element x y z (fractional)
Th  0.160  0.250  0.385
Th  0.175  0.250  0.933
Th  0.825  0.750  0.067
Th  0.840  0.750  0.615
Tl  0.495  0.250  0.680
Tl  0.505  0.750  0.320
Ir  0.179  0.750  0.163
Ir  0.821  0.250  0.837
Au  0.215  0.750  0.664
Au  0.785  0.250  0.336

Entry 5:
The following is a DFT calculation (GGA-PBE) of a relaxed TmThIrAu crystal.

Density of states at the Fermi level, states/eV/f.u.: 2.77
SG: F-43m, No. 216
Energy of formation, eV per formula unit: -3.04

Cell lengths 5.056, 5.056, 5.056 Å; angles 60.00, 60.00, 60.00 degrees
Element x y z (fractional)
Tm  0.000  0.000  0.000
Th  0.500  0.500  0.500
Ir  0.250  0.250  0.250
Au  0.750  0.750  0.750

Entry 6:
The following is a DFT calculation (GGA-PBE) of a relaxed YThIrAu crystal.

Offset from the most stable computed form, meV/atom: 0
Density of states at the Fermi level, states/eV/f.u.: 2.61
SG: Amm2, No. 38
Energy of formation, eV per formula unit: -3.69

Cell lengths 4.179, 6.191, 6.191 Å; angles 37.22, 90.00, 90.00 degrees
Element x y z (fractional)
Y  0.000  0.000  0.000
Th  0.500  0.718  0.718
Ir  0.000  0.249  0.249
Au  0.500  0.435  0.435

Entry 7:
The following is a DFT calculation (GGA-PBE) of a relaxed YThIrAu crystal.

Offset from the most stable computed form, meV/atom: 195
Density of states at the Fermi level, states/eV/f.u.: 3.40
SG: F-43m, No. 216
Energy of formation, eV per formula unit: -2.91

Cell lengths 5.086, 5.086, 5.086 Å; angles 60.00, 60.00, 60.00 degrees
Element x y z (fractional)
Y  0.000  0.000  0.000
Th  0.500  0.500  0.500
Ir  0.250  0.250  0.250
Au  0.750  0.750  0.750

Entry 8:
The following is a DFT calculation (GGA-PBE) of a relaxed ThZn5IrAu4 crystal.

Density of states at the Fermi level, states/eV/f.u.: 9.62
SG: P4/mmm, No. 123
Energy of formation, eV per formula unit: 1.02

Cell lengths 4.917, 4.917, 8.714 Å; angles 90.00, 90.00, 90.00 degrees
Element x y z (fractional)
Th  0.000  0.000  0.000
Zn  0.000  0.000  0.500
Zn  0.000  0.500  0.195
Zn  0.000  0.500  0.805
Zn  0.500  0.000  0.195
Zn  0.500  0.000  0.805
Ir  0.500  0.500  0.000
Au  0.000  0.500  0.500
Au  0.500  0.000  0.500
Au  0.500  0.500  0.325
Au  0.500  0.500  0.675

Entry 9:
The following is a DFT calculation (GGA-PBE) of a relaxed Th2ZnIrAu crystal.

Density of states at the Fermi level, states/eV/f.u.: 4.16
SG: P2_1/m, No. 11
Energy of formation, eV per formula unit: -3.39

Cell lengths 7.743, 4.124, 8.065 Å; angles 90.00, 112.58, 90.00 degrees
Element x y z (fractional)
Th  0.014  0.250  0.212
Th  0.370  0.750  0.622
Th  0.630  0.250  0.378
Th  0.986  0.750  0.788
Zn  0.363  0.250  0.952
Zn  0.637  0.750  0.048
Ir  0.117  0.250  0.620
Ir  0.883  0.750  0.380
Au  0.308  0.750  0.183
Au  0.692  0.250  0.817

Entry 10:
The following is a DFT calculation (GGA-PBE) of a relaxed ThZnIrAu crystal.

Density of states at the Fermi level, states/eV/f.u.: 3.28
SG: F-43m, No. 216
Energy of formation, eV per formula unit: -1.71

Cell lengths 4.880, 4.880, 4.880 Å; angles 60.00, 60.00, 60.00 degrees
Element x y z (fractional)
Th  0.000  0.000  0.000
Zn  0.500  0.500  0.500
Ir  0.750  0.750  0.750
Au  0.250  0.250  0.250

Entry 11:
The following is a DFT calculation (GGA-PBE) of a relaxed TiIrAu3 crystal.

Offset from the most stable computed form, meV/atom: 0
Density of states at the Fermi level, states/eV/f.u.: 13.07
SG: Pm-3m, No. 221
Energy of formation, eV per formula unit: 5.77

Cell lengths 4.991, 4.991, 4.991 Å; angles 90.00, 90.00, 90.00 degrees
Element x y z (fractional)
Ti  0.000  0.000  0.000
Ir  0.500  0.500  0.500
Au  0.000  0.500  0.500
Au  0.500  0.000  0.500
Au  0.500  0.500  0.000

Entry 12:
The following is a DFT calculation (GGA-PBE) of a relaxed Ti2Ir2Au crystal.

Offset from the most stable computed form, meV/atom: 139
Density of states at the Fermi level, states/eV/f.u.: 3.97
SG: P4/mbm, No. 127
Energy of formation, eV per formula unit: -2.57

Cell lengths 7.550, 7.550, 2.876 Å; angles 90.00, 90.00, 90.00 degrees
Element x y z (fractional)
Ti  0.150  0.350  0.000
Ti  0.350  0.850  0.000
Ti  0.650  0.150  0.000
Ti  0.850  0.650  0.000
Ir  0.142  0.642  0.500
Ir  0.358  0.142  0.500
Ir  0.642  0.858  0.500
Ir  0.858  0.358  0.500
Au  0.000  0.000  0.000
Au  0.500  0.500  0.000